1.
The following is a DFT calculation (PBE) of crystalline SnB2Au at its relaxed geometry.

Calculated values
calculated density = 8.2 Mg/m³
final energy = -68.98 eV for the cell shown

a = 5.1519 Å, b = 5.1519 Å, c = 10.3392 Å
α = 90.00°, β = 90.00°, γ = 90.00°
Last column: nearest neighbours and their distance in Å.
Space group I-42d (No. 122)
Inequivalent atoms, fractional coordinates:
Sn (0.0000, 0.0000, 0.0000) [4 per cell]  4 B 2.32
B (0.2209, 0.2500, 0.6250) [8 per cell]  2 Au 2.15, 2 Sn 2.32
Au (0.0000, 0.0000, 0.5000) [4 per cell]  4 B 2.15

---

2.
The following is a DFT calculation (PBE) of crystalline SnBAu at its relaxed geometry.

Calculated values
calculated density = 10.1 Mg/m³
final energy = -24.00 eV for the cell shown

a = 3.0258 Å, b = 3.0258 Å, c = 11.6783 Å
α = 90.00°, β = 90.00°, γ = 90.00°
Last column: nearest neighbours and their distance in Å.
Space group P4/nmm (No. 129, origin choice 2)
Inequivalent atoms, fractional coordinates:
Sn (0.2500, 0.2500, 0.1745) [2 per cell]  4 B 2.54, 1 Au 2.80
B (0.2500, 0.7500, 0.0000) [2 per cell]  4 B 2.14
Au (0.2500, 0.2500, 0.4146) [2 per cell]  1 Sn 2.80, 8 Au 2.93-3.03

---

3.
The following is a DFT calculation (PBE) of crystalline SnBAu at its relaxed geometry.

Calculated values
calculated density = 8.9 Mg/m³
final energy = -24.01 eV for the cell shown

a = 3.7539 Å, b = 3.7539 Å, c = 9.9377 Å
α = 90.00°, β = 90.00°, γ = 120.00°
Last column: nearest neighbours and their distance in Å.
Space group P6_3/mmc (No. 194)
Inequivalent atoms, fractional coordinates:
Sn (0.0000, 0.0000, 0.0000) [2 per cell]  2 B 2.48
B (0.0000, 0.0000, 0.2500) [2 per cell]  3 Au 2.17
Au (0.3333, 0.6667, 0.2500) [2 per cell]  3 B 2.17

---

4.
The following is a DFT calculation (PBE) of crystalline SnBAu at its relaxed geometry.

Calculated values
calculated density = 9.8 Mg/m³
final energy = -26.62 eV for the cell shown

a = 3.1894 Å, b = 5.8754 Å, c = 6.1164 Å
α = 89.50°, β = 76.65°, γ = 82.32°
Last column: nearest neighbours and their distance in Å.
Space group P-1 (No. 2)
Inequivalent atoms, fractional coordinates:
Sn (0.0034, 0.1220, 0.2352) [2 per cell]  2 B 2.65-2.86, 2 Au 2.78-2.92
B (0.2475, 0.4870, 0.0102) [2 per cell]  2 B 1.60-1.61
Au (0.3041, 0.6543, 0.3486) [2 per cell]  2 B 2.35-2.41

---

5.
The following is a DFT calculation (PBE) of crystalline SnBAu at its relaxed geometry.

Calculated values
calculated density = 9.6 Mg/m³
final energy = -25.96 eV for the cell shown

a = 4.0060 Å, b = 4.3029 Å, c = 6.8014 Å
α = 85.89°, β = 74.05°, γ = 89.17°
Last column: nearest neighbours and their distance in Å.
Space group P1 (No. 1)
Inequivalent atoms, fractional coordinates:
Sn (0.0000, 0.0000, 0.0000) [1 per cell]  2 B 2.43-2.63
Sn (0.3536, 0.9216, 0.4542) [1 per cell]  3 B 2.54-2.72
B (0.6430, 0.0097, 0.7637) [1 per cell]  1 B 1.62
B (0.7763, 0.2551, 0.5672) [1 per cell]  1 B 1.62
Au (0.0116, 0.4762, 0.2762) [1 per cell]  1 B 2.11
Au (0.4670, 0.5193, 0.8376) [1 per cell]  3 B 2.21-2.34

---

6.
The following is a DFT calculation (PBE) of crystalline SnBAu at its relaxed geometry.

Calculated values
calculated density = 9.7 Mg/m³
final energy = -26.15 eV for the cell shown

a = 4.1443 Å, b = 4.3103 Å, c = 6.7088 Å
α = 101.31°, β = 107.50°, γ = 90.02°
Last column: nearest neighbours and their distance in Å.
Space group P1 (No. 1)
Inequivalent atoms, fractional coordinates:
Sn (0.0000, 0.0000, 0.0000) [1 per cell]  2 B 2.36-2.59
Sn (0.3263, 0.3730, 0.6604) [1 per cell]  2 B 2.35-2.60
B (0.6382, 0.0605, 0.2152) [1 per cell]  1 B 1.64
B (0.7562, 0.3129, 0.4445) [1 per cell]  1 B 1.64
Au (0.4753, 0.5388, 0.1064) [1 per cell]  2 B 2.26-2.35
Au (0.7030, 0.8347, 0.5551) [1 per cell]  2 B 2.26-2.35

---

7.
The following is a DFT calculation (PBE) of crystalline SnBAu at its relaxed geometry.

Calculated values
calculated density = 9.7 Mg/m³
final energy = -26.71 eV for the cell shown

a = 3.2062 Å, b = 5.8433 Å, c = 6.1218 Å
α = 90.62°, β = 101.46°, γ = 94.77°
Last column: nearest neighbours and their distance in Å.
Space group P-1 (No. 2)
Inequivalent atoms, fractional coordinates:
Sn (0.2324, 0.2207, 0.3380) [2 per cell]  1 B 2.50
B (0.2554, 0.4870, 0.0234) [2 per cell]  2 B 1.63-1.64
Au (0.3934, 0.1630, 0.8127) [2 per cell]  2 B 2.36-2.40

---

8.
The following is a DFT calculation (PBE) of crystalline SnBAu at its relaxed geometry.

Calculated values
calculated density = 10.2 Mg/m³
final energy = -24.59 eV for the cell shown

a = 3.2787 Å, b = 3.2787 Å, c = 9.8806 Å
α = 90.00°, β = 90.00°, γ = 90.00°
Last column: nearest neighbours and their distance in Å.
Space group P4/nmm (No. 129, origin choice 2)
Inequivalent atoms, fractional coordinates:
Sn (0.2500, 0.2500, 0.1340) [2 per cell]  4 Au 3.11, 4 Sn 3.28
B (0.2500, 0.7500, 0.5000) [2 per cell]  4 Au 2.26, 4 B 2.32
Au (0.2500, 0.2500, 0.6568) [2 per cell]  4 B 2.26